AlAuBr4 after structural relaxation. Source: Alexandria, functional PBE.

Cell lengths 7.6389, 7.6389, 8.7502 Å; angles 90.00, 90.00, 90.00 degrees
Closest atoms and distances in Å follow each position.
Space group P4_2/mmc (No. 131)
Symmetry-distinct sites (fractional):
1 Al 0.0000 0.5000 0.0000 [2 per cell]  4 Br 2.40
2 Au 0.0000 0.0000 0.0000 [2 per cell]  4 Br 2.74
3 Br 0.2250 0.2801 0.0000 [8 per cell]  1 Al 2.40

Output
formation energy (no corrections) = -0.489 eV/atom
relative energy among the computed polymorphs = 0.000 eV per atom
mass density = 3.5 g/cm3